The following is a GGA-PBEsol calculation of LaSbRh after structural relaxation, from the Alexandria database.

Calculated values
Magnetization = 0.0 μB/f.u.
ΔE_f (raw) = -0.42 eV per atom
Calculated total energy = -6.44 eV/atom
Space group = I4mm

abc: 3.954 3.954 9.639
angles: 90.00 90.00 90.00
Fractional coordinates of all 6 atoms:
La: 0.000 0.000 0.000
La: 0.500 0.500 0.500
Sb: 0.000 0.000 0.317
Sb: 0.500 0.500 0.817
Rh: 0.000 0.000 0.591
Rh: 0.500 0.500 0.091